(1)
## NaPaSnO6 (PBE)

Data for a geometry-optimized NaPaSnO6 structure.

The value obtained for the theoretical density is 6.0 g/cm3. Its formation energy (no corrections) is -1.964 eV per atom. For the density of states at the Fermi level, the calculation gives 0.5207 states/eV per atom. Its space group is P312. For the total energy, the calculation gives -6.916 eV per atom.

Lattice parameters (Å, degrees): 5.5960 5.5960 4.7977 90.00 90.00 120.00
Positions (direct):
Na 0.0000 0.0000 0.0000
Pa 0.6667 0.3333 0.5000
Sn 0.3333 0.6667 0.0000
O 0.0062 0.3772 0.2406
O 0.0062 0.6290 0.7594
O 0.3710 0.3772 0.7594
O 0.3710 0.9938 0.2406
O 0.6228 0.6290 0.2406
O 0.6228 0.9938 0.7594

=====

(2)
## Na3Sr2PaO6 (PBE)

Data for a geometry-optimized Na3Sr2PaO6 structure.

The value obtained for the theoretical density is 5.0 g/cm3. Its formation energy (no corrections) is -2.612 eV per atom. For the density of states at the Fermi level, the calculation gives 0.0000 states/eV per atom. Its space group is C2/m. For the total energy, the calculation gives -6.492 eV per atom.

Lattice parameters (Å, degrees): 6.2779 6.2779 5.9982 99.95 99.95 120.25
Positions (direct):
Na 0.0000 0.0000 0.0000
Na 0.3445 0.6555 0.0000
Na 0.6555 0.3445 0.0000
Sr 0.1674 0.8326 0.5000
Sr 0.8326 0.1674 0.5000
Pa 0.5000 0.5000 0.5000
O 0.1342 0.4282 0.2807
O 0.2744 0.2744 0.7124
O 0.4282 0.1342 0.2807
O 0.5718 0.8658 0.7193
O 0.7256 0.7256 0.2876
O 0.8658 0.5718 0.7193

=====

(3)
## NaPaTa2O8 (PBE)

Data for a geometry-optimized NaPaTa2O8 structure.

The value obtained for the theoretical density is 5.7 g/cm3. Its formation energy (no corrections) is -2.846 eV per atom. For the density of states at the Fermi level, the calculation gives 0.0000 states/eV per atom. Its space group is P-3m1. For the total energy, the calculation gives -9.028 eV per atom.

Lattice parameters (Å, degrees): 6.0755 6.0755 6.7679 90.00 90.00 120.00
Positions (direct):
Na 0.0000 0.0000 0.0000
Pa 0.0000 0.0000 0.5000
Ta 0.3333 0.6667 0.2107
Ta 0.6667 0.3333 0.7893
O 0.1614 0.3228 0.2992
O 0.1614 0.8386 0.2992
O 0.3228 0.1614 0.7008
O 0.3333 0.6667 0.9480
O 0.6667 0.3333 0.0520
O 0.6772 0.8386 0.2992
O 0.8386 0.1614 0.7008
O 0.8386 0.6772 0.7008